First-principles (GGA-PBE) data for a relaxed Pm3Sm2Dy6 crystal, as listed in Alexandria.

a b c (Å): 6.1716 6.1827 11.6876
angles (deg): 84.88 79.70 60.06
Fractional coordinates of all 11 atoms:
Pm: 0.0000 0.0000 0.0000
Pm: 0.3356 0.3287 0.0000
Pm: 0.6644 0.6713 0.0000
Sm: 0.1664 0.6673 0.5000
Sm: 0.8336 0.3327 0.5000
Dy: 0.4171 0.6669 0.7487
Dy: 0.7503 0.0000 0.7490
Dy: 0.0840 0.3331 0.7487
Dy: 0.2497 0.0000 0.2510
Dy: 0.5829 0.3331 0.2513
Dy: 0.9160 0.6669 0.2513

Final energy = -4.47 eV/atom
DFT formation energy = 0.190 eV/atom
ΔE to the lowest computed polymorph = 0.0000 eV per atom